# TbPr2Y4 PBE relaxed
# Total energy = -0.20848 hartree per atom
# E_form = 0.33 eV/f.u.
# Relative energy among the computed polymorphs = 0 meV per atom
data_TbPr2Y4
_chemical_formula_sum 'Tb2 Pr4 Y8'
_cell_length_a 17.061
_cell_length_b 3.582
_cell_length_c 8.881
_cell_angle_alpha 90.00
_cell_angle_beta 120.08
_cell_angle_gamma 90.00
_symmetry_space_group_name_H-M 'C 1 2/m 1'
_symmetry_Int_Tables_number 12
_symmetry_space_group_name_Hall '-C 2y'
loop_
_atom_site_label
_atom_site_fract_x
_atom_site_fract_y
_atom_site_fract_z
Tb1 0.000 0.000 0.000
Pr1 0.070 0.000 0.430
Y1 0.146 0.500 0.847
Y2 0.205 0.500 0.291

# Ac2Zn2Cl PBE relaxed
# Total energy = -0.12284 hartree per atom
# E_form (uncorrected) = -4.1 eV per formula unit
data_Ac2Zn2Cl
_chemical_formula_sum 'Ac4 Zn4 Cl2'
_cell_length_a 7.904
_cell_length_b 4.548
_cell_length_c 8.107
_cell_angle_alpha 90.00
_cell_angle_beta 109.05
_cell_angle_gamma 90.00
_symmetry_space_group_name_H-M 'C 1 2/m 1'
_symmetry_Int_Tables_number 12
_symmetry_space_group_name_Hall '-C 2y'
loop_
_atom_site_label
_atom_site_fract_x
_atom_site_fract_y
_atom_site_fract_z
Ac1 0.087 0.000 0.262
Zn1 0.170 0.500 0.010
Cl1 0.000 0.500 0.500